ZrTaPCl2: optimized geometry, PBE.

Results
Crystal system = tetragonal
Total magnetization = 3.4 μB per cell
E_tot = -5.542 eV per atom
Raw formation energy = 359 meV per atom
Polymorph energy (0 for the lowest one) = 218 meV per atom

Geometry as POSCAR:
```
ZrTaPCl2
1.0
4.828 0.000 0.000
0.000 4.828 0.000
0.000 0.000 5.331
Zr Ta P Cl
1 1 1 2
Direct
0.000 0.000 0.000 Zr
0.500 0.500 0.500 Ta
0.000 0.000 0.500 P
0.000 0.500 0.000 Cl
0.500 0.000 0.000 Cl
```

***

ZrTaPCl2: optimized geometry, PBE.

Results
Crystal system = tetragonal
Total magnetization = 2.3 μB per cell
E_tot = -5.760 eV per atom
Raw formation energy = 140 meV per atom
Polymorph energy (0 for the lowest one) = 0 meV per atom

Geometry as POSCAR:
```
ZrTaPCl2
1.0
4.702 0.000 0.000
0.000 4.702 0.000
0.000 0.000 5.035
Zr Ta P Cl
1 1 1 2
Direct
0.000 0.000 0.000 Zr
0.500 0.500 0.500 Ta
0.500 0.500 0.000 P
0.000 0.500 0.500 Cl
0.500 0.000 0.500 Cl
```

***

Tb2PCl: optimized geometry, PBE.

Results
Crystal system = trigonal
Total magnetization = 0.0 μB per cell
E_tot = -5.665 eV per atom
Raw formation energy = -1536 meV per atom

Geometry as POSCAR:
```
Tb2PCl
1.0
1.974 1.140 7.011
-1.974 1.140 7.011
0.000 -2.280 7.011
Tb P Cl
2 1 1
Direct
0.000 0.000 0.000 Tb
0.194 0.194 0.194 Tb
0.595 0.595 0.595 P
0.766 0.766 0.766 Cl
```

***

Tb3PCl3: optimized geometry, PBE.

Results
Crystal system = trigonal
Total magnetization = 0.0 μB per cell
E_tot = -5.358 eV per atom
Raw formation energy = -1809 meV per atom

Geometry as POSCAR:
```
Tb3PCl3
1.0
3.390 1.957 10.097
-3.390 1.957 10.097
0.000 -3.915 10.097
Tb P Cl
6 2 6
Direct
0.111 0.449 0.788 Tb
0.212 0.889 0.551 Tb
0.449 0.788 0.111 Tb
0.551 0.212 0.889 Tb
0.788 0.111 0.449 Tb
0.889 0.551 0.212 Tb
0.167 0.167 0.167 P
0.833 0.833 0.833 P
0.063 0.726 0.395 Cl
0.274 0.605 0.937 Cl
0.395 0.063 0.726 Cl
0.605 0.937 0.274 Cl
0.726 0.395 0.063 Cl
0.937 0.274 0.605 Cl
```

***

Tb3PCl5: optimized geometry, PBE.

Results
Crystal system = monoclinic
Total magnetization = 0.0 μB per cell
E_tot = -4.942 eV per atom
Raw formation energy = -1771 meV per atom

Geometry as POSCAR:
```
Tb3PCl5
1.0
6.109 -4.742 0.000
6.109 4.742 0.000
-4.547 0.000 8.939
Tb P Cl
6 2 10
Direct
0.000 0.000 0.000 Tb
0.000 0.000 0.500 Tb
0.309 0.309 0.343 Tb
0.346 0.346 0.845 Tb
0.654 0.654 0.155 Tb
0.691 0.691 0.657 Tb
0.088 0.088 0.297 P
0.912 0.912 0.703 P
0.034 0.620 0.323 Cl
0.242 0.242 0.041 Cl
0.291 0.709 0.000 Cl
0.380 0.966 0.677 Cl
0.443 0.443 0.646 Cl
0.557 0.557 0.354 Cl
0.620 0.034 0.323 Cl
0.709 0.291 0.000 Cl
0.758 0.758 0.959 Cl
0.966 0.380 0.677 Cl
```

***

Tb6P5Cl: optimized geometry, PBE.

Results
Crystal system = monoclinic
Total magnetization = 0.0 μB per cell
E_tot = -6.387 eV per atom
Raw formation energy = -1664 meV per atom

Geometry as POSCAR:
```
Tb6P5Cl
1.0
3.492 -6.036 0.000
3.492 6.036 0.000
-2.323 0.000 6.560
Tb P Cl
6 5 1
Direct
0.064 0.414 0.742 Tb
0.237 0.237 0.259 Tb
0.414 0.064 0.742 Tb
0.586 0.936 0.258 Tb
0.763 0.763 0.741 Tb
0.936 0.586 0.258 Tb
0.000 0.000 0.500 P
0.167 0.833 0.000 P
0.338 0.662 0.500 P
0.662 0.338 0.500 P
0.833 0.167 0.000 P
0.500 0.500 0.000 Cl
```

***

Tb4P2Cl3: optimized geometry, PBE.

Results
Crystal system = monoclinic
Total magnetization = 0.0 μB per cell
E_tot = -5.656 eV per atom
Raw formation energy = -1781 meV per atom

Geometry as POSCAR:
```
Tb4P2Cl3
1.0
3.456 -1.995 0.000
3.456 1.995 0.000
-0.025 0.000 16.744
Tb P Cl
4 2 3
Direct
0.001 0.001 0.292 Tb
0.334 0.334 0.115 Tb
0.666 0.666 0.885 Tb
0.999 0.999 0.708 Tb
0.333 0.333 0.799 P
0.667 0.667 0.201 P
0.000 0.000 0.000 Cl
0.335 0.335 0.390 Cl
0.665 0.665 0.610 Cl
```

***

Tb3TePCl: optimized geometry, PBE.

Results
Crystal system = monoclinic
Total magnetization = 0.0 μB per cell
E_tot = -5.482 eV per atom
Raw formation energy = -1434 meV per atom

Geometry as POSCAR:
```
Tb3TePCl
1.0
8.606 0.000 0.000
0.000 4.059 0.000
-0.786 0.000 9.583
Tb Te P Cl
6 2 2 2
Direct
0.090 0.250 0.351 Tb
0.157 0.250 0.930 Tb
0.359 0.750 0.636 Tb
0.641 0.250 0.364 Tb
0.843 0.750 0.070 Tb
0.910 0.750 0.649 Tb
0.362 0.750 0.313 Te
0.638 0.250 0.687 Te
0.136 0.250 0.642 P
0.864 0.750 0.358 P
0.369 0.750 0.924 Cl
0.631 0.250 0.076 Cl
```

***

TcP3Cl: optimized geometry, PBE.

Results
Crystal system = cubic
Total magnetization = 0.0 μB per cell
E_tot = -5.261 eV per atom
Raw formation energy = 428 meV per atom
Polymorph energy (0 for the lowest one) = 0 meV per atom

Geometry as POSCAR:
```
TcP3Cl
1.0
4.626 0.000 0.000
0.000 4.626 0.000
0.000 0.000 4.626
Tc P Cl
1 3 1
Direct
0.000 0.000 0.000 Tc
0.000 0.000 0.500 P
0.000 0.500 0.000 P
0.500 0.000 0.000 P
0.500 0.500 0.500 Cl
```

***

TcPCl2: optimized geometry, PBE.

Results
Crystal system = monoclinic
Total magnetization = 0.0 μB per cell
E_tot = -5.087 eV per atom
Raw formation energy = -219 meV per atom
Polymorph energy (0 for the lowest one) = 225 meV per atom

Geometry as POSCAR:
```
TcPCl2
1.0
6.134 0.000 0.000
0.000 3.044 0.000
-2.756 0.000 6.009
Tc P Cl
1 1 2
Direct
0.000 0.000 0.000 Tc
0.737 0.500 0.028 P
0.303 0.000 0.341 Cl
0.985 0.500 0.711 Cl
```

***

> What is the formula in the fifth record?

Tb3PCl5

***

> Among the records above, which one has the lowest E_tot?

Tb6P5Cl

***

Copy entry 8 word for word.
Tb3TePCl: optimized geometry, PBE.

Results
Crystal system = monoclinic
Total magnetization = 0.0 μB per cell
E_tot = -5.482 eV per atom
Raw formation energy = -1434 meV per atom

Geometry as POSCAR:
```
Tb3TePCl
1.0
8.606 0.000 0.000
0.000 4.059 0.000
-0.786 0.000 9.583
Tb Te P Cl
6 2 2 2
Direct
0.090 0.250 0.351 Tb
0.157 0.250 0.930 Tb
0.359 0.750 0.636 Tb
0.641 0.250 0.364 Tb
0.843 0.750 0.070 Tb
0.910 0.750 0.649 Tb
0.362 0.750 0.313 Te
0.638 0.250 0.687 Te
0.136 0.250 0.642 P
0.864 0.750 0.358 P
0.369 0.750 0.924 Cl
0.631 0.250 0.076 Cl
```